Entry 1:
# PBE CsHg4, optimized geometry
# Calculated formation energy, eV/atom: -0.211
# Final energy, eV for the cell shown: -3.12
# ΔE to the lowest computed polymorph, meV per atom: 0
data_CsHg4
_chemical_formula_sum 'Cs1 Hg4'
_cell_length_a 6.848
_cell_length_b 6.848
_cell_length_c 6.848
_cell_angle_alpha 130.81
_cell_angle_beta 130.81
_cell_angle_gamma 72.12
_symmetry_space_group_name_H-M 'P 1'
_symmetry_Int_Tables_number 1
loop_
_symmetry_equiv_pos_as_xyz
'x,y,z'
loop_
_atom_site_label
_atom_site_fract_x
_atom_site_fract_y
_atom_site_fract_z
Cs1 0.000 0.000 0.000
Hg1 0.250 0.750 0.500
Hg2 0.363 0.363 0.000
Hg3 0.637 0.637 0.000
Hg4 0.750 0.250 0.500



Entry 2:
# PBE Cs4Hg3, optimized geometry
# Calculated formation energy, eV/atom: -0.196
# Final energy, eV for the cell shown: -5.69
data_Cs4Hg3
_chemical_formula_sum 'Cs4 Hg3'
_cell_length_a 5.491
_cell_length_b 5.491
_cell_length_c 17.910
_cell_angle_alpha 98.48
_cell_angle_beta 98.48
_cell_angle_gamma 59.93
_symmetry_space_group_name_H-M 'P 1'
_symmetry_Int_Tables_number 1
loop_
_symmetry_equiv_pos_as_xyz
'x,y,z'
loop_
_atom_site_label
_atom_site_fract_x
_atom_site_fract_y
_atom_site_fract_z
Cs1 0.043 0.043 0.135
Cs2 0.207 0.207 0.624
Cs3 0.793 0.793 0.376
Cs4 0.957 0.957 0.865
Hg1 0.333 0.333 0.000
Hg2 0.500 0.500 0.500
Hg3 0.667 0.667 0.000



Entry 3:
# PBE Cs13Hg2, optimized geometry
# Calculated formation energy, eV/atom: -0.064
# Final energy, eV for the cell shown: -12.65
data_Cs13Hg2
_chemical_formula_sum 'Cs13 Hg2'
_cell_length_a 9.345
_cell_length_b 12.200
_cell_length_c 14.306
_cell_angle_alpha 64.98
_cell_angle_beta 89.27
_cell_angle_gamma 81.67
_symmetry_space_group_name_H-M 'P 1'
_symmetry_Int_Tables_number 1
loop_
_symmetry_equiv_pos_as_xyz
'x,y,z'
loop_
_atom_site_label
_atom_site_fract_x
_atom_site_fract_y
_atom_site_fract_z
Cs1 0.000 0.000 0.000
Cs2 0.077 0.535 0.311
Cs3 0.159 0.074 0.613
Cs4 0.230 0.622 0.930
Cs5 0.304 0.151 0.231
Cs6 0.386 0.688 0.542
Cs7 0.451 0.229 0.847
Cs8 0.549 0.771 0.153
Cs9 0.614 0.312 0.458
Cs10 0.696 0.849 0.769
Cs11 0.770 0.378 0.070
Cs12 0.841 0.926 0.387
Cs13 0.923 0.465 0.689
Hg1 0.192 0.842 0.271
Hg2 0.808 0.158 0.729



Entry 4:
# PBE Cs2Hg3, optimized geometry
# Calculated formation energy, eV/atom: -0.240
# Final energy, eV for the cell shown: -7.63
# ΔE to the lowest computed polymorph, meV per atom: 0
data_Cs2Hg3
_chemical_formula_sum 'Cs4 Hg6'
_cell_length_a 7.268
_cell_length_b 7.268
_cell_length_c 10.186
_cell_angle_alpha 90.00
_cell_angle_beta 90.00
_cell_angle_gamma 124.73
_symmetry_space_group_name_H-M 'P 1'
_symmetry_Int_Tables_number 1
loop_
_symmetry_equiv_pos_as_xyz
'x,y,z'
loop_
_atom_site_label
_atom_site_fract_x
_atom_site_fract_y
_atom_site_fract_z
Cs1 0.159 0.841 0.905
Cs2 0.341 0.659 0.405
Cs3 0.659 0.341 0.595
Cs4 0.841 0.159 0.095
Hg1 0.000 0.000 0.500
Hg2 0.159 0.341 0.750
Hg3 0.341 0.159 0.250
Hg4 0.500 0.500 0.000
Hg5 0.659 0.841 0.750
Hg6 0.841 0.659 0.250



Entry 5:
# PBE CsHg6, optimized geometry
# Calculated formation energy, eV/atom: 0.023
# Final energy, eV for the cell shown: -2.50
# ΔE to the lowest computed polymorph, meV per atom: 167
data_CsHg6
_chemical_formula_sum 'Cs1 Hg6'
_cell_length_a 7.505
_cell_length_b 7.505
_cell_length_c 7.505
_cell_angle_alpha 90.00
_cell_angle_beta 90.00
_cell_angle_gamma 90.00
_symmetry_space_group_name_H-M 'P 1'
_symmetry_Int_Tables_number 1
loop_
_symmetry_equiv_pos_as_xyz
'x,y,z'
loop_
_atom_site_label
_atom_site_fract_x
_atom_site_fract_y
_atom_site_fract_z
Cs1 0.000 0.000 0.000
Hg1 0.197 0.500 0.500
Hg2 0.500 0.197 0.500
Hg3 0.500 0.500 0.197
Hg4 0.500 0.500 0.803
Hg5 0.500 0.803 0.500
Hg6 0.803 0.500 0.500



Entry 6:
# PBE Cs5Hg, optimized geometry
# Calculated formation energy, eV/atom: -0.054
# Final energy, eV for the cell shown: -9.78
# ΔE to the lowest computed polymorph, meV per atom: 0
data_Cs5Hg
_chemical_formula_sum 'Cs10 Hg2'
_cell_length_a 13.105
_cell_length_b 13.105
_cell_length_c 13.105
_cell_angle_alpha 135.13
_cell_angle_beta 135.13
_cell_angle_gamma 65.33
_symmetry_space_group_name_H-M 'P 1'
_symmetry_Int_Tables_number 1
loop_
_symmetry_equiv_pos_as_xyz
'x,y,z'
loop_
_atom_site_label
_atom_site_fract_x
_atom_site_fract_y
_atom_site_fract_z
Cs1 0.000 0.000 0.000
Cs2 0.019 0.519 0.851
Cs3 0.168 0.019 0.500
Cs4 0.332 0.832 0.851
Cs5 0.481 0.332 0.500
Cs6 0.500 0.500 0.000
Cs7 0.519 0.668 0.500
Cs8 0.668 0.168 0.149
Cs9 0.832 0.981 0.500
Cs10 0.981 0.481 0.149
Hg1 0.250 0.250 0.000
Hg2 0.750 0.750 0.000